Record 1
DFT (PBE-GGA) results for a relaxed AsAu2 crystal.

For the formation energy, the calculation gives 0.228 eV/atom.

The structure belongs to space group P6_3/mmc (No. 194); the cell edges are 4.8029, 4.8029 and 5.6219 Å and the angles 90.00°, 90.00° and 120.00°. The distinct sites, in fractional coordinates, are As at (0.3333, 0.6667, 0.2500), Au at (0.0000, 0.0000, 0.0000) and Au at (0.3333, 0.6667, 0.7500).

***

Record 2
DFT (PBE-GGA) results for a relaxed AsAu2 crystal.

For the formation energy, the calculation gives 0.168 eV/atom.

The structure belongs to space group I4/mmm (No. 139); the cell edges are 2.9061, 2.9061 and 13.2066 Å and the angles 90.00°, 90.00° and 90.00°. The distinct sites, in fractional coordinates, are As at (0.0000, 0.0000, 0.0000) and Au at (0.0000, 0.0000, 0.3332).

***

Record 3
DFT (PBE-GGA) results for a relaxed AsAu crystal.

For the formation energy, the calculation gives 0.264 eV/atom.

The structure belongs to space group I4_1/amd (No. 141, origin choice 2); the cell edges are 4.2080, 4.2080 and 8.5475 Å and the angles 90.00°, 90.00° and 90.00°. The distinct sites, in fractional coordinates, are As at (0.0000, 0.2500, 0.3750) and Au at (0.0000, 0.2500, 0.8750).

***

Record 4
DFT (PBE-GGA) results for a relaxed As5Au crystal.

The offset from the most stable computed form is 0.83 eV/f.u. For the formation energy, the calculation gives 0.386 eV/atom.

The structure belongs to space group Cmmm (No. 65); the cell edges are 2.9550, 15.4832 and 5.0583 Å and the angles 90.00°, 90.00° and 90.00°. The distinct sites, in fractional coordinates, are As at (0.0000, 0.0000, 0.0000), As at (0.0000, 0.1713, 0.5000), As at (0.0000, 0.3284, 0.0000) and Au at (0.0000, 0.5000, 0.5000).

***

Record 5
DFT (PBE-GGA) results for a relaxed AsAu crystal.

For the formation energy, the calculation gives 0.126 eV/atom.

The structure belongs to space group C2/m (No. 12); the cell edges are 8.1219, 2.9223 and 7.3270 Å and the angles 90.00°, 103.63° and 90.00°. The distinct sites, in fractional coordinates, are As at (0.0844, 0.0000, 0.3774) and Au at (0.1317, 0.5000, 0.8686).

***

Record 6
DFT (PBE-GGA) results for a relaxed AsAu2 crystal.

For the formation energy, the calculation gives 0.112 eV/atom.

The structure belongs to space group Cmcm (No. 63); the cell edges are 3.4938, 12.7731 and 5.3695 Å and the angles 90.00°, 90.00° and 90.00°. The distinct sites, in fractional coordinates, are As at (0.0000, 0.1745, 0.2500), Au at (0.0000, 0.1557, 0.7500) and Au at (0.0000, 0.4786, 0.7500).

***

Record 7
DFT (PBE-GGA) results for a relaxed AsAu2 crystal.

For the formation energy, the calculation gives 0.154 eV/atom.

The structure belongs to space group C2/m (No. 12); the cell edges are 12.5427, 2.8924 and 6.7376 Å and the angles 90.00°, 110.15° and 90.00°. The distinct sites, in fractional coordinates, are As at (0.0384, 0.0000, 0.2602), Au at (0.1585, 0.5000, 0.6080) and Au at (0.1635, 0.5000, 0.0605).

***

Record 8
DFT (PBE-GGA) results for a relaxed AsAu crystal.

For the formation energy, the calculation gives 0.230 eV/atom.

The structure belongs to space group F-43m (No. 216); the cell edges are 5.8444, 5.8444 and 5.8444 Å and the angles 90.00°, 90.00° and 90.00°. The distinct sites, in fractional coordinates, are As at (0.0000, 0.0000, 0.0000) and Au at (0.2500, 0.2500, 0.7500).

***

Magnetic moment across the listed records, respectively: 0.00 0.00 0.00 0.00 0.00 0.00 0.00 0.00 μB per cell.